No. 1
VASP calculation (PBE) on an optimized crystal structure of Pa3Co5C2.

Cell and atoms, written as POSCAR:
```
Pa3Co5C2
1.0
-5.568 0.865 3.561
-3.740 -6.236 1.907
0.189 -2.405 7.119
Co Pa C
10 6 4
direct
0.386 0.831 0.397
0.995 0.255 0.255
0.614 0.169 0.603
0.886 0.397 0.831
0.505 0.745 0.745
0.750 0.500 0.500
0.250 0.500 0.500
0.114 0.603 0.169
0.005 0.745 0.745
0.495 0.255 0.255
0.365 0.429 0.842
0.135 0.158 0.571
0.750 0.000 0.000
0.865 0.842 0.429
0.635 0.571 0.158
0.250 0.000 0.000
0.666 0.872 0.797
0.166 0.797 0.872
0.334 0.128 0.203
0.834 0.203 0.128
```

N(E_F) (states/eV per cell): 22.02
Calculated formation energy (eV/atom): -0.12
Space-group type: Ibam (72)

No. 2
VASP calculation (PBE) on an optimized crystal structure of Pa2CoC2.

Cell and atoms, written as POSCAR:
```
Pa2CoC2
1.0
-0.479 3.060 -0.909
-5.337 -0.740 0.318
0.379 0.822 8.293
Co C Pa
2 4 4
direct
0.371 0.443 0.743
0.629 0.943 0.257
0.808 0.516 0.617
0.423 0.109 0.847
0.192 0.016 0.383
0.577 0.609 0.153
0.030 0.260 0.061
0.970 0.760 0.939
0.195 0.537 0.391
0.805 0.037 0.609
```

N(E_F) (states/eV per cell): 8.60
Energy above the most stable polymorph in this dataset (eV per atom): 0.111
Calculated formation energy (eV/atom): -0.20
Space-group type: Cmc2_1 (36)

No. 3
VASP calculation (PBE) on an optimized crystal structure of Pa2CoC2.

Cell and atoms, written as POSCAR:
```
Pa2CoC2
1.0
-3.461 3.599 1.233
-5.248 -4.207 -2.451
-0.798 -3.281 7.339
Co Pa C
4 8 8
direct
0.750 0.763 0.856
0.250 0.737 0.356
0.250 0.237 0.144
0.750 0.263 0.644
0.250 0.353 0.440
0.750 0.147 0.940
0.250 0.475 0.844
0.250 0.853 0.060
0.750 0.525 0.156
0.750 0.025 0.344
0.750 0.647 0.560
0.250 0.975 0.656
0.250 0.524 0.159
0.750 0.855 0.087
0.250 0.645 0.587
0.750 0.355 0.413
0.750 0.976 0.659
0.750 0.476 0.841
0.250 0.024 0.341
0.250 0.145 0.913
```

N(E_F) (states/eV per cell): 12.65
Energy above the most stable polymorph in this dataset (eV per atom): 0.000
Calculated formation energy (eV/atom): -0.31
Space-group type: Pnma (62)

No. 4
VASP calculation (PBE) on an optimized crystal structure of PaCo3C.

Cell and atoms, written as POSCAR:
```
PaCo3C
1.0
-5.778 -0.314 -2.130
-1.373 -2.370 -4.852
-2.838 -4.766 -0.523
C Pa Co
2 2 6
direct
0.000 0.500 0.500
0.500 0.000 0.000
0.750 0.198 0.302
0.250 0.802 0.698
0.250 0.308 0.192
0.730 0.270 0.770
0.770 0.730 0.230
0.750 0.692 0.808
0.230 0.270 0.770
0.270 0.730 0.230
```

N(E_F) (states/eV per cell): 9.30
Energy above the most stable polymorph in this dataset (eV per atom): 0.000
Calculated formation energy (eV/atom): -0.14
Space-group type: Imma (74)

No. 5
VASP calculation (PBE) on an optimized crystal structure of PaCo4C.

Cell and atoms, written as POSCAR:
```
PaCo4C
1.0
-2.615 -0.649 2.183
-3.725 -0.584 -4.637
1.425 -6.736 -0.296
C Co Pa
2 8 2
direct
0.000 0.869 0.250
0.000 0.131 0.750
0.500 0.294 0.933
0.000 0.000 0.500
0.500 0.706 0.067
0.500 0.706 0.433
0.500 0.294 0.567
0.500 0.052 0.250
0.000 0.000 0.000
0.500 0.948 0.750
0.000 0.593 0.750
0.000 0.407 0.250
```

N(E_F) (states/eV per cell): 15.43
Calculated formation energy (eV/atom): -0.01
Space-group type: Pmma (51)

No. 6
VASP calculation (PBE) on an optimized crystal structure of Pa4CoCS2.

Cell and atoms, written as POSCAR:
```
Pa4CoCS2
1.0
3.688 0.000 0.000
0.000 6.774 -0.201
0.000 2.321 6.254
Pa S Co C
4 2 1 1
direct
0.500 0.276 0.727
0.000 0.724 0.749
0.500 0.724 0.273
0.000 0.276 0.251
0.500 0.000 0.500
0.000 0.000 0.000
0.500 0.500 0.000
0.000 0.500 0.500
```

N(E_F) (states/eV per cell): 10.82
Raw total energy (eV per atom): -8.759
Space-group type: P2/m (10)

The lowest N(E_F) belongs to which entry? number 2

N(E_F) of number 2 (Pa2CoC2)? 8.60 states/eV per cell

Which of these has the lowest N(E_F)? number 2